Computed, not measured: a relaxed structure of NbAlAu at the PBE level of DFT.

Cell lengths 3.015, 3.015, 11.144 Å; angles 90.00, 90.00, 90.00 degrees
Space group I4mm (No. 107)
Unique sites:
Nb 0.000 0.000 0.000 x2
Al 0.000 0.000 0.334 x2
Au 0.000 0.000 0.684 x2

Values from the calculation:
Density, Mg/m³: 10.4
DFT formation energy, eV/atom: -0.30
Total magnetization, μB per formula unit: 0.000
Raw total energy, eV per atom: -6.00